Compound: TePd2
Source: Alexandria
Functional: PBE
Structure: relaxed

Geometry as CIF:
```
data_TePd2
_chemical_formula_sum 'Te2 Pd4'
_symmetry_space_group_name_H-M 'P 1'
_symmetry_Int_Tables_number 1
_cell_length_a 4.566
_cell_length_b 5.888
_cell_length_c 4.574
_cell_angle_alpha 90.00
_cell_angle_beta 115.68
_cell_angle_gamma 90.00
loop_
_symmetry_equiv_pos_as_xyz
'x,y,z'
loop_
_atom_site_label
_atom_site_type_symbol
_atom_site_fract_x
_atom_site_fract_y
_atom_site_fract_z
_atom_site_occupancy
Te1 Te 0.186 0.250 0.313 1
Te2 Te 0.814 0.750 0.687 1
Pd1 Pd 0.164 0.750 0.336 1
Pd2 Pd 0.500 0.000 0.000 1
Pd3 Pd 0.500 0.500 0.000 1
Pd4 Pd 0.836 0.250 0.664 1
```

Results
The value obtained for the formation energy (no corrections) is -213 meV/atom.